(1)
## CsTcNO (PBE)

Data for crystalline CsTcNO at its relaxed geometry.

a b c (Å): 3.7297 3.7297 11.4667
angles (deg): 90.00 90.00 90.00
With the nearest neighbours (Å) after each atom.
Space group P4/nmm (No. 129, origin choice 2)
Unique sites:
Cs 0.2500 0.2500 0.1826 (multiplicity 2)  4 O 2.80
Tc 0.2500 0.7500 0.5000 (multiplicity 2)  4 N 2.05
N 0.2500 0.2500 0.5751 (multiplicity 2)  4 Tc 2.05
O 0.2500 0.7500 0.0000 (multiplicity 2)  4 O 2.64, 4 Cs 2.80

Output
Its distance to the lowest polymorph of the same formula is 843 meV per atom. As for the total DFT energy (no corrections): -5.9721 eV per atom.



(2)
## CsTmNO (PBE)

Data for crystalline CsTmNO at its relaxed geometry.

a b c (Å): 3.7201 7.4403 6.8611
angles (deg): 90.00 90.00 90.00
With the nearest neighbours (Å) after each atom.
Space group Pmc2_1 (No. 26)
Unique sites:
Cs 0.0000 0.2152 0.0000 (multiplicity 2)  2 O 2.93-3.26, 2 N 3.20
Tm 0.5000 0.3148 0.4919 (multiplicity 2)  2 O 2.13, 2 N 2.20-2.21
N 0.5000 0.4831 0.7563 (multiplicity 2)  2 Tm 2.20-2.21
O 0.0000 0.1776 0.4738 (multiplicity 2)  2 Tm 2.13

Output
As for the total DFT energy (no corrections): -5.9265 eV per atom.



(3)
## CsZnNO (PBE)

Data for crystalline CsZnNO at its relaxed geometry.

a b c (Å): 3.3450 7.2927 6.1763
angles (deg): 90.00 90.00 90.00
With the nearest neighbours (Å) after each atom.
Space group Pmc2_1 (No. 26)
Unique sites:
Cs 0.0000 0.1952 0.0000 (multiplicity 2)  3 O 2.88-3.09, 4 N 3.17-3.19
Zn 0.5000 0.3392 0.5001 (multiplicity 2)  2 N 1.94, 2 O 1.96
N 0.5000 0.4990 0.7511 (multiplicity 2)  2 Zn 1.94
O 0.0000 0.2003 0.4997 (multiplicity 2)  2 Zn 1.96

Output
Its distance to the lowest polymorph of the same formula is 278 meV per atom. As for the total DFT energy (no corrections): -3.7757 eV per atom.



(4)
## CsZnNO (PBE)

Data for crystalline CsZnNO at its relaxed geometry.

a b c (Å): 4.5544 4.5544 7.5423
angles (deg): 90.00 90.00 90.00
With the nearest neighbours (Å) after each atom.
Space group P4/nmm (No. 129, origin choice 2)
Unique sites:
Cs 0.2500 0.7500 0.0000 (multiplicity 2)  4 N 2.73
Zn 0.2500 0.2500 0.4536 (multiplicity 2)  1 N 1.92
N 0.2500 0.2500 0.1984 (multiplicity 2)  1 Zn 1.92
O 0.2500 0.7500 0.5000 (multiplicity 2)  4 Zn 2.30

Output
Its distance to the lowest polymorph of the same formula is 844 meV per atom. As for the total DFT energy (no corrections): -3.2094 eV per atom.



(5)
## CsZnNO (PBE)

Data for crystalline CsZnNO at its relaxed geometry.

a b c (Å): 4.7105 4.7105 6.4690
angles (deg): 90.00 90.00 90.00
With the nearest neighbours (Å) after each atom.
Space group P4/nmm (No. 129, origin choice 2)
Unique sites:
Cs 0.2500 0.7500 0.0000 (multiplicity 2)  4 N 2.57
Zn 0.2500 0.2500 0.4601 (multiplicity 2)  1 N 1.95
N 0.2500 0.2500 0.1587 (multiplicity 2)  1 Zn 1.95
O 0.2500 0.7500 0.5000 (multiplicity 2)  4 Zn 2.37

Output
Its distance to the lowest polymorph of the same formula is 873 meV per atom. As for the total DFT energy (no corrections): -3.1799 eV per atom.



(6)
## CsZnNO (PBE)

Data for crystalline CsZnNO at its relaxed geometry.

a b c (Å): 6.3262 3.5395 6.8574
angles (deg): 90.00 90.00 90.00
With the nearest neighbours (Å) after each atom.
Space group Pmma (No. 51)
Unique sites:
Cs 0.2500 0.0000 0.2247 (multiplicity 2)  4 O 3.03, 3 N 3.08-3.16
Zn 0.2500 0.5000 0.6661 (multiplicity 2)  2 N 1.92, 2 O 1.95
N 0.2500 0.0000 0.7751 (multiplicity 2)  2 Zn 1.92
O 0.0000 0.5000 0.5000 (multiplicity 2)  2 Zn 1.95

Output
Its distance to the lowest polymorph of the same formula is 272 meV per atom. As for the total DFT energy (no corrections): -3.7808 eV per atom.



(7)
## CsZnNO (PBE)

Data for crystalline CsZnNO at its relaxed geometry.

a b c (Å): 3.6712 3.6712 10.9684
angles (deg): 90.00 90.00 90.00
With the nearest neighbours (Å) after each atom.
Space group P4/nmm (No. 129, origin choice 2)
Unique sites:
Cs 0.2500 0.2500 0.1991 (multiplicity 2)  4 O 2.85
Zn 0.2500 0.7500 0.5000 (multiplicity 2)  4 N 2.05
N 0.2500 0.2500 0.5836 (multiplicity 2)  4 Zn 2.05
O 0.2500 0.7500 0.0000 (multiplicity 2)  4 O 2.60, 4 Cs 2.85

Output
Its distance to the lowest polymorph of the same formula is 518 meV per atom. As for the total DFT energy (no corrections): -3.5355 eV per atom.



(8)
## CsZnNO (PBE)

Data for crystalline CsZnNO at its relaxed geometry.

a b c (Å): 5.9663 8.6167 5.8256
angles (deg): 90.00 90.00 90.00
With the nearest neighbours (Å) after each atom.
Space group Pca2_1 (No. 29)
Unique sites:
Cs 0.0361 0.1558 0.0000 (multiplicity 4)  5 O 2.96-3.09, 1 N 3.16
Zn 0.0932 0.5836 0.0141 (multiplicity 4)  1 O 1.88, 3 N 1.96-1.97
N 0.1392 0.5230 0.6915 (multiplicity 4)  3 Zn 1.96-1.97
O 0.0325 0.7969 0.9983 (multiplicity 4)  1 Zn 1.88

Output
Its distance to the lowest polymorph of the same formula is 193 meV per atom. As for the total DFT energy (no corrections): -3.8603 eV per atom.